Entry 1:
# Ho4ScCu5 | Alexandria | PBE | optimized geometry
# **M_tot**: 0.0 μB per formula unit
# **Total DFT energy (no corrections)**: -4.7770 eV/atom
# **Formation enthalpy at 0 K**: -0.26 eV/atom
data_Ho4ScCu5
_cell_length_a 3.395
_cell_length_b 3.395
_cell_length_c 17.231
_cell_angle_alpha 90.00
_cell_angle_beta 90.00
_cell_angle_gamma 90.00
_symmetry_space_group_name_H-M 'P 4/m m m'
_symmetry_Int_Tables_number 123
_symmetry_space_group_name_Hall '-P 4 2'
loop_
_atom_site_label
_atom_site_type_symbol
_atom_site_fract_x
_atom_site_fract_y
_atom_site_fract_z
Ho1 Ho 0.000 0.000 0.102
Ho2 Ho 0.000 0.000 0.306
Sc1 Sc 0.000 0.000 0.500
Cu1 Cu 0.500 0.500 0.000
Cu2 Cu 0.500 0.500 0.204
Cu3 Cu 0.500 0.500 0.413

***

Entry 2:
# Ho5ScCu6 | Alexandria | PBE | optimized geometry
# **M_tot**: 0.0 μB per formula unit
# **Total DFT energy (no corrections)**: -4.7437 eV/atom
# **Formation enthalpy at 0 K**: -0.26 eV/atom
data_Ho5ScCu6
_cell_length_a 4.852
_cell_length_b 6.774
_cell_length_c 14.606
_cell_angle_alpha 90.00
_cell_angle_beta 90.00
_cell_angle_gamma 90.00
_symmetry_space_group_name_H-M 'I m m m'
_symmetry_Int_Tables_number 71
_symmetry_space_group_name_Hall '-I 2 2'
loop_
_atom_site_label
_atom_site_type_symbol
_atom_site_fract_x
_atom_site_fract_y
_atom_site_fract_z
Ho1 Ho 0.000 0.000 0.000
Ho2 Ho 0.000 0.000 0.333
Ho3 Ho 0.000 0.500 0.334
Sc1 Sc 0.000 0.500 0.000
Cu1 Cu 0.000 0.236 0.500
Cu2 Cu 0.000 0.258 0.161

***

Entry 3:
# Ho3ScCu4 | Alexandria | PBE | optimized geometry
# **M_tot**: 0.0 μB per formula unit
# **Total DFT energy (no corrections)**: -4.8121 eV/atom
# **Formation enthalpy at 0 K**: -0.26 eV/atom
data_Ho3ScCu4
_cell_length_a 3.389
_cell_length_b 4.833
_cell_length_c 9.643
_cell_angle_alpha 90.00
_cell_angle_beta 90.00
_cell_angle_gamma 90.00
_symmetry_space_group_name_H-M 'P m m m'
_symmetry_Int_Tables_number 47
loop_
_symmetry_equiv_pos_as_xyz
'x,y,z'
'-x,-y,-z'
'-x,-y,z'
'x,y,-z'
'x,-y,-z'
'-x,y,z'
'-x,y,-z'
'x,-y,z'
loop_
_atom_site_label
_atom_site_type_symbol
_atom_site_fract_x
_atom_site_fract_y
_atom_site_fract_z
Ho1 Ho 0.000 0.000 0.000
Ho2 Ho 0.000 0.500 0.254
Sc1 Sc 0.000 0.000 0.500
Cu1 Cu 0.500 0.000 0.263
Cu2 Cu 0.500 0.500 0.000
Cu3 Cu 0.500 0.500 0.500

***

Entry 4:
# Ho2ScCu | Alexandria | PBE | optimized geometry
# **M_tot**: 0.6 μB per formula unit
# **Total DFT energy (no corrections)**: -4.6115 eV/atom
# **Formation enthalpy at 0 K**: 0.28 eV/atom
data_Ho2ScCu
_cell_length_a 3.3565
_cell_length_b 3.3565
_cell_length_c 31.8321
_cell_angle_alpha 90.00
_cell_angle_beta 90.00
_cell_angle_gamma 120.00
_symmetry_space_group_name_H-M 'R -3 m'
_symmetry_Int_Tables_number 166
_symmetry_space_group_name_Hall '-R 3 2"'
loop_
_atom_site_label
_atom_site_type_symbol
_atom_site_fract_x
_atom_site_fract_y
_atom_site_fract_z
Ho1 Ho 0.0000 0.0000 0.1002
Sc1 Sc 0.0000 0.0000 0.0000
Cu1 Cu 0.0000 0.0000 0.5000

***

Entry 5:
# Ho2ScCu | Alexandria | PBE | optimized geometry
# **M_tot**: 0.0 μB per formula unit
# **Total DFT energy (no corrections)**: -4.9827 eV/atom
# **Formation enthalpy at 0 K**: -0.09 eV/atom
data_Ho2ScCu
_cell_length_a 3.421
_cell_length_b 3.421
_cell_length_c 8.319
_cell_angle_alpha 90.00
_cell_angle_beta 90.00
_cell_angle_gamma 90.00
_symmetry_space_group_name_H-M 'P 4/m m m'
_symmetry_Int_Tables_number 123
_symmetry_space_group_name_Hall '-P 4 2'
loop_
_atom_site_label
_atom_site_type_symbol
_atom_site_fract_x
_atom_site_fract_y
_atom_site_fract_z
Ho1 Ho 0.000 0.000 0.210
Sc1 Sc 0.500 0.500 0.500
Cu1 Cu 0.500 0.500 0.000

***

Entry 6:
# Ho2ScCu | Alexandria | PBE | optimized geometry
# **M_tot**: 0.0 μB per formula unit
# **Total DFT energy (no corrections)**: -4.8493 eV/atom
# **Formation enthalpy at 0 K**: 0.05 eV/atom
data_Ho2ScCu
_cell_length_a 5.136
_cell_length_b 5.136
_cell_length_c 3.616
_cell_angle_alpha 90.00
_cell_angle_beta 90.00
_cell_angle_gamma 90.00
_symmetry_space_group_name_H-M 'P 4/m m m'
_symmetry_Int_Tables_number 123
_symmetry_space_group_name_Hall '-P 4 2'
loop_
_atom_site_label
_atom_site_type_symbol
_atom_site_fract_x
_atom_site_fract_y
_atom_site_fract_z
Ho1 Ho 0.000 0.500 0.000
Sc1 Sc 0.000 0.000 0.500
Cu1 Cu 0.500 0.500 0.500

***

Entry 7:
# HoSc3Cu8 | Alexandria | PBE | optimized geometry
# **M_tot**: 0.0 μB per formula unit
# **Total DFT energy (no corrections)**: -4.9255 eV/atom
# **Formation enthalpy at 0 K**: -0.23 eV/atom
data_HoSc3Cu8
_cell_length_a 5.1175
_cell_length_b 5.1175
_cell_length_c 8.2605
_cell_angle_alpha 90.00
_cell_angle_beta 90.00
_cell_angle_gamma 120.00
_symmetry_space_group_name_H-M 'P 3 m 1'
_symmetry_Int_Tables_number 156
loop_
_symmetry_equiv_pos_as_xyz
'x,y,z'
'-y,x-y,z'
'-x+y,-x,z'
'-y,-x,z'
'-x+y,y,z'
'x,x-y,z'
loop_
_atom_site_label
_atom_site_type_symbol
_atom_site_fract_x
_atom_site_fract_y
_atom_site_fract_z
Ho1 Ho 0.0000 0.0000 0.0000
Sc1 Sc 0.0000 0.0000 0.3934
Sc2 Sc 0.6667 0.3333 0.4874
Sc3 Sc 0.6667 0.3333 0.8674
Cu1 Cu 0.1665 0.3330 0.6842
Cu2 Cu 0.3333 0.6667 0.4337
Cu3 Cu 0.3333 0.6667 0.9363
Cu4 Cu 0.5018 0.0036 0.1891

***

Entry 8:
# Ho2ScCu | Alexandria | PBE | optimized geometry
# **M_tot**: 0.0 μB per formula unit
# **Total DFT energy (no corrections)**: -4.9926 eV/atom
# **Formation enthalpy at 0 K**: -0.10 eV/atom
data_Ho2ScCu
_cell_length_a 3.525
_cell_length_b 9.128
_cell_length_c 6.329
_cell_angle_alpha 90.00
_cell_angle_beta 106.12
_cell_angle_gamma 90.00
_symmetry_space_group_name_H-M 'P 1 21/m 1'
_symmetry_Int_Tables_number 11
loop_
_symmetry_equiv_pos_as_xyz
'x,y,z'
'-x,-y,-z'
'-x,y+1/2,-z'
'x,-y+1/2,z'
loop_
_atom_site_label
_atom_site_type_symbol
_atom_site_fract_x
_atom_site_fract_y
_atom_site_fract_z
Ho1 Ho 0.132 0.059 0.266
Sc1 Sc 0.438 0.250 0.877
Cu1 Cu 0.243 0.750 0.483

***

Entry 9:
# Ho4ScCu2 | Alexandria | PBE | optimized geometry
# **M_tot**: 0.0 μB per formula unit
# **Total DFT energy (no corrections)**: -4.5710 eV/atom
# **Formation enthalpy at 0 K**: 0.12 eV/atom
data_Ho4ScCu2
_cell_length_a 5.1479
_cell_length_b 5.1479
_cell_length_c 24.0508
_cell_angle_alpha 90.00
_cell_angle_beta 90.00
_cell_angle_gamma 120.00
_symmetry_space_group_name_H-M 'R -3 m'
_symmetry_Int_Tables_number 166
_symmetry_space_group_name_Hall '-R 3 2"'
loop_
_atom_site_label
_atom_site_type_symbol
_atom_site_fract_x
_atom_site_fract_y
_atom_site_fract_z
Ho1 Ho 0.0000 0.0000 0.1225
Ho2 Ho 0.0000 0.0000 0.2818
Sc1 Sc 0.0000 0.0000 0.5000
Cu1 Cu 0.0000 0.0000 0.3962

***

Entry 10:
# HoSc2Cu6 | Alexandria | PBE | optimized geometry
# **M_tot**: 0.0 μB per formula unit
# **Total DFT energy (no corrections)**: -4.7947 eV/atom
# **Formation enthalpy at 0 K**: -0.15 eV/atom
data_HoSc2Cu6
_cell_length_a 3.331
_cell_length_b 7.018
_cell_length_c 13.002
_cell_angle_alpha 90.00
_cell_angle_beta 90.00
_cell_angle_gamma 90.00
_symmetry_space_group_name_H-M 'I m m m'
_symmetry_Int_Tables_number 71
_symmetry_space_group_name_Hall '-I 2 2'
loop_
_atom_site_label
_atom_site_type_symbol
_atom_site_fract_x
_atom_site_fract_y
_atom_site_fract_z
Ho1 Ho 0.000 0.000 0.000
Sc1 Sc 0.000 0.500 0.138
Cu1 Cu 0.000 0.177 0.500
Cu2 Cu 0.000 0.315 0.322

***

Entry 11:
# Ho5ScCu4 | Alexandria | PBE | optimized geometry
# **M_tot**: 0.0 μB per formula unit
# **Total DFT energy (no corrections)**: -4.7588 eV/atom
# **Formation enthalpy at 0 K**: -0.20 eV/atom
data_Ho5ScCu4
_cell_length_a 3.440
_cell_length_b 3.440
_cell_length_c 18.613
_cell_angle_alpha 90.00
_cell_angle_beta 90.00
_cell_angle_gamma 90.00
_symmetry_space_group_name_H-M 'P 4/m m m'
_symmetry_Int_Tables_number 123
_symmetry_space_group_name_Hall '-P 4 2'
loop_
_atom_site_label
_atom_site_type_symbol
_atom_site_fract_x
_atom_site_fract_y
_atom_site_fract_z
Ho1 Ho 0.000 0.000 0.000
Ho2 Ho 0.000 0.000 0.187
Ho3 Ho 0.000 0.000 0.373
Sc1 Sc 0.500 0.500 0.500
Cu1 Cu 0.500 0.500 0.093
Cu2 Cu 0.500 0.500 0.281

***

Entry 12:
# HoSc3Cu2 | Alexandria | PBE | optimized geometry
# **M_tot**: 0.3 μB per formula unit
# **Total DFT energy (no corrections)**: -5.4249 eV/atom
# **Formation enthalpy at 0 K**: -0.13 eV/atom
data_HoSc3Cu2
_cell_length_a 3.451
_cell_length_b 9.036
_cell_length_c 8.253
_cell_angle_alpha 90.00
_cell_angle_beta 90.00
_cell_angle_gamma 90.00
_symmetry_space_group_name_H-M 'P m c 21'
_symmetry_Int_Tables_number 26
loop_
_symmetry_equiv_pos_as_xyz
'x,y,z'
'-x,-y,z+1/2'
'-x,y,z'
'x,-y,z+1/2'
loop_
_atom_site_label
_atom_site_type_symbol
_atom_site_fract_x
_atom_site_fract_y
_atom_site_fract_z
Ho1 Ho 0.000 0.082 0.000
Sc1 Sc 0.000 0.294 0.646
Sc2 Sc 0.500 0.218 0.324
Sc3 Sc 0.500 0.428 0.973
Cu1 Cu 0.000 0.426 0.255
Cu2 Cu 0.500 0.081 0.716

***

> Which formula does entry 6 have?

Ho2ScCu

***

> Which formula does entry 11 have?

Ho5ScCu4

***

Please write out number 6 again, unchanged.
# Ho2ScCu | Alexandria | PBE | optimized geometry
# **M_tot**: 0.0 μB per formula unit
# **Total DFT energy (no corrections)**: -4.8493 eV/atom
# **Formation enthalpy at 0 K**: 0.05 eV/atom
data_Ho2ScCu
_cell_length_a 5.136
_cell_length_b 5.136
_cell_length_c 3.616
_cell_angle_alpha 90.00
_cell_angle_beta 90.00
_cell_angle_gamma 90.00
_symmetry_space_group_name_H-M 'P 4/m m m'
_symmetry_Int_Tables_number 123
_symmetry_space_group_name_Hall '-P 4 2'
loop_
_atom_site_label
_atom_site_type_symbol
_atom_site_fract_x
_atom_site_fract_y
_atom_site_fract_z
Ho1 Ho 0.000 0.500 0.000
Sc1 Sc 0.000 0.000 0.500
Cu1 Cu 0.500 0.500 0.500